No. 1
A plane-wave DFT calculation with GGA-PBE was carried out for an optimized crystal structure of NdTeI.

The structure belongs to space group P2_1/c (No. 14); the cell edges are 8.0974, 9.0247 and 7.9176 Å and the angles 90.00°, 110.39° and 90.00°. The asymmetric unit holds Nd at (0.0182, 0.1276, 0.2356), Te at (0.2349, 0.1206, 0.9879) and I at (0.2399, 0.6245, 0.0106).

The calculation puts the energy above the most stable polymorph in this dataset at 56.2 meV/atom. The density of states at the Fermi level comes out at 0.00 states/eV per cell. The uncorrected formation energy comes out at -4.11 eV per formula unit.

---

No. 2
A plane-wave DFT calculation with GGA-PBE was carried out for an optimized crystal structure of V4ReRh7.

The structure belongs to space group C2/m (No. 12); the cell edges are 10.2526, 4.6087 and 8.8605 Å and the angles 90.00°, 119.11° and 90.00°. The asymmetric unit holds V at (0.0849, 0.0000, 0.2663), V at (0.2330, 0.0000, 0.8228), Re at (0.0000, 0.5000, 0.5000), Rh at (0.0000, 0.0000, 0.5000), Rh at (0.0632, 0.5000, 0.8490), Rh at (0.1494, 0.0000, 0.0566) and Rh at (0.2148, 0.5000, 0.4099).

The formation energy is 0.17 eV per atom. The density of states at the Fermi level comes out at 22.85 states/eV per cell.

---

No. 3
A plane-wave DFT calculation with GGA-PBE was carried out for an optimized crystal structure of SrMg2Re.

The structure belongs to space group P4/mmm (No. 123); the cell edges are 3.0168, 3.0168 and 9.8558 Å and the angles 90.00°, 90.00° and 90.00°. The asymmetric unit holds Sr at (0.0000, 0.0000, 0.0000), Mg at (0.5000, 0.5000, 0.3018) and Re at (0.0000, 0.0000, 0.5000).

The calculation puts the energy above the most stable polymorph in this dataset at 47.6 meV/atom. The formation energy is 0.57 eV per atom. The density of states at the Fermi level comes out at 4.11 states/eV per cell.

---

No. 4
A plane-wave DFT calculation with GGA-PBE was carried out for an optimized crystal structure of Na2HfCl.

The structure belongs to space group I-42d (No. 122); the cell edges are 9.0260, 9.0260 and 5.2106 Å and the angles 90.00°, 90.00° and 90.00°. The asymmetric unit holds Na at (0.1771, 0.2500, 0.1250), Hf at (0.0000, 0.0000, 0.5000) and Cl at (0.0000, 0.0000, 0.0000).

The calculation puts the energy above the most stable polymorph in this dataset at 0.0 meV/atom. The density of states at the Fermi level comes out at 16.04 states/eV per cell. The uncorrected formation energy comes out at 0.94 eV per formula unit.

---

No. 5
A plane-wave DFT calculation with GGA-PBE was carried out for an optimized crystal structure of Li2Cl.

The structure belongs to space group I4/mcm (No. 140); the cell edges are 6.0392, 6.0392 and 6.3444 Å and the angles 90.00°, 90.00° and 90.00°. The asymmetric unit holds Li at (0.1928, 0.3072, 0.0000) and Cl at (0.0000, 0.0000, 0.2500).

The calculation puts the energy above the most stable polymorph in this dataset at 186.4 meV/atom. The density of states at the Fermi level comes out at 4.04 states/eV per cell. The uncorrected formation energy comes out at -2.64 eV per formula unit.

---

No. 6
A plane-wave DFT calculation with GGA-PBE was carried out for an optimized crystal structure of AcSc3Se6.

The structure belongs to space group P2_1/m (No. 11); the cell edges are 11.5181, 4.0586 and 11.9197 Å and the angles 90.00°, 111.65° and 90.00°. The asymmetric unit holds Ac at (0.1057, 0.2500, 0.3571), Sc at (0.1633, 0.2500, 0.0338), Sc at (0.2788, 0.7500, 0.7346), Sc at (0.4891, 0.7500, 0.3540), Se at (0.0660, 0.7500, 0.1415), Se at (0.1008, 0.2500, 0.6268), Se at (0.2335, 0.7500, 0.9344), Se at (0.3352, 0.2500, 0.2622), Se at (0.3391, 0.7500, 0.5202) and Se at (0.4341, 0.2500, 0.8205).

The uncorrected formation energy comes out at -17.25 eV per formula unit.

---

No. 7
A plane-wave DFT calculation with GGA-PBE was carried out for an optimized crystal structure of SrLa8Sm6.

The structure belongs to space group R-3 (No. 148, hexagonal axes); the cell edges are 10.0302, 10.0302 and 18.6266 Å and the angles 90.00°, 90.00° and 120.00°. The asymmetric unit holds Sr at (0.0000, 0.0000, 0.0000), La at (0.0000, 0.0000, 0.2368), La at (0.0432, 0.4236, 0.5659) and Sm at (0.0230, 0.2334, 0.4067).

The formation energy is 0.17 eV per atom. The density of states at the Fermi level comes out at 70.02 states/eV per cell.

---

No. 8
A plane-wave DFT calculation with GGA-PBE was carried out for an optimized crystal structure of InSbPtI2.

The structure belongs to space group P4/mmm (No. 123); the cell edges are 6.2119, 6.2119 and 4.9788 Å and the angles 90.00°, 90.00° and 90.00°. The asymmetric unit holds In at (0.0000, 0.0000, 0.0000), Sb at (0.5000, 0.5000, 0.5000), Pt at (0.5000, 0.5000, 0.0000) and I at (0.0000, 0.5000, 0.5000).

The calculation puts the energy above the most stable polymorph in this dataset at 12.2 meV/atom. The density of states at the Fermi level comes out at 0.85 states/eV per cell. The uncorrected formation energy comes out at 0.40 eV per formula unit.

---

No. 9
A plane-wave DFT calculation with GGA-PBE was carried out for an optimized crystal structure of Li8CaIn3.

The structure belongs to space group P3m1 (No. 156); the cell edges are 5.5363, 5.5363 and 8.9487 Å and the angles 90.00°, 90.00° and 120.00°. The asymmetric unit holds Li at (0.0000, 0.0000, 0.0000), Li at (0.0000, 0.0000, 0.4979), Li at (0.1728, 0.3456, 0.7699), Li at (0.3437, 0.1719, 0.2446), Ca at (0.6667, 0.3333, 0.5713), In at (0.3333, 0.6667, 0.0792), In at (0.3333, 0.6667, 0.4418) and In at (0.6667, 0.3333, 0.9426).

The formation energy is -0.16 eV per atom. The density of states at the Fermi level comes out at 4.29 states/eV per cell.

---

No. 10
A plane-wave DFT calculation with GGA-PBE was carried out for an optimized crystal structure of AcPrAgPt.

The structure belongs to space group F-43m (No. 216); the cell edges are 7.5643, 7.5643 and 7.5643 Å and the angles 90.00°, 90.00° and 90.00°. The asymmetric unit holds Ac at (0.0000, 0.0000, 0.0000), Pr at (0.0000, 0.0000, 0.5000), Ag at (0.2500, 0.2500, 0.2500) and Pt at (0.2500, 0.2500, 0.7500).

The calculation puts the energy above the most stable polymorph in this dataset at 72.9 meV/atom. The formation energy is -0.61 eV per atom. The density of states at the Fermi level comes out at 12.46 states/eV per cell.

---

No. 11
A plane-wave DFT calculation with GGA-PBE was carried out for an optimized crystal structure of La6Th.

The structure belongs to space group Im-3m (No. 229); the cell edges are 8.1698, 8.1698 and 8.1698 Å and the angles 90.00°, 90.00° and 90.00°. The asymmetric unit holds La at (0.0000, 0.2500, 0.5000) and Th at (0.0000, 0.0000, 0.0000).

The formation energy is 0.99 eV per atom. The density of states at the Fermi level comes out at 19.67 states/eV per cell.

---

No. 12
A plane-wave DFT calculation with GGA-PBE was carried out for an optimized crystal structure of NaYCr2Cd.

The structure belongs to space group P4/mmm (No. 123); the cell edges are 4.9608, 4.9608 and 5.0459 Å and the angles 90.00°, 90.00° and 90.00°. The asymmetric unit holds Na at (0.0000, 0.0000, 0.0000), Y at (0.5000, 0.5000, 0.5000), Cr at (0.0000, 0.5000, 0.0000) and Cd at (0.0000, 0.0000, 0.5000).

The formation energy is 1.11 eV per atom. The density of states at the Fermi level comes out at 3.54 states/eV per cell.